## Fe2CuTe (GGA-PBE)

Data for crystalline Fe2CuTe at its relaxed geometry.

Calculated values
E_form (uncorrected) in eV/f.u.: 1.92
Theoretical density in g/cm³: 7.870
VASP energy in eV/atom: -5.56
Volume in Å³/cell: 256
Density of states at the Fermi level in states/eV/cell: 16.9

```
data_Fe2CuTe
_chemical_formula_sum 'Fe8 Cu4 Te4'
_space_group_name_H-M_alt 'I -4 2 d'
_space_group_IT_number 122
_space_group_name_Hall 'I -4 2bw'
_cell_length_a 3.739
_cell_length_b 3.739
_cell_length_c 18.286
_cell_angle_alpha 90.00
_cell_angle_beta 90.00
_cell_angle_gamma 90.00
loop_
_atom_site_label
_atom_site_fract_x
_atom_site_fract_y
_atom_site_fract_z
Fe1 0.234 0.250 0.125
Cu1 0.000 0.000 0.000
Te1 0.000 0.000 0.500
```